(1)
Density functional theory data (PBE-GGA) for crystalline TlP4Au at its relaxed geometry.

Lattice parameters (Å, degrees): 8.4758 8.4758 8.4758 90.00 90.00 90.00
Closest atoms and distances in Å follow each position.
Space group F-43m (No. 216)
Symmetry-distinct sites (fractional):
Tl (0.0000, 0.0000, 0.0000)  12 P 3.63, 4 Au 3.67
P (0.0921, 0.0921, 0.4079)  3 P 2.21
Au (0.2500, 0.2500, 0.7500)  12 P 3.46, 4 Tl 3.67

Computed properties:
**ΔE_f**: 1.7 eV/f.u.
**Volume**: 608.9 Å³/cell
**Crystal system**: cubic
**E_tot**: -4.26 eV/atom

=====

(2)
Density functional theory data (PBE-GGA) for crystalline MnCrHRh2 at its relaxed geometry.

Lattice parameters (Å, degrees): 3.8619 3.8619 3.8091 90.00 90.00 90.00
Closest atoms and distances in Å follow each position.
Space group P4/mmm (No. 123)
Symmetry-distinct sites (fractional):
Mn (0.0000, 0.0000, 0.0000)  8 Rh 2.71, 4 Cr 2.73
Cr (0.5000, 0.5000, 0.0000)  2 H 1.90
H (0.5000, 0.5000, 0.5000)  2 Cr 1.90, 4 Rh 1.93
Rh (0.0000, 0.5000, 0.5000)  2 H 1.93

Computed properties:
**Volume**: 56.8 Å³/cell
**Crystal system**: tetragonal
**E_tot**: -7.54 eV/atom

=====

(3)
Density functional theory data (PBE-GGA) for crystalline CaPtI2N at its relaxed geometry.

Lattice parameters (Å, degrees): 5.9883 5.9883 4.5251 90.00 90.00 90.00
Closest atoms and distances in Å follow each position.
Space group P4/mmm (No. 123)
Symmetry-distinct sites (fractional):
Ca (0.0000, 0.0000, 0.0000)  2 N 2.26
Pt (0.5000, 0.5000, 0.5000)  8 I 3.75
I (0.0000, 0.5000, 0.0000)  2 Ca 2.99
N (0.0000, 0.0000, 0.5000)  2 Ca 2.26

Computed properties:
**Raw formation energy**: 830 meV per atom
**Volume**: 162.3 Å³/cell
**Crystal system**: tetragonal
**E_tot**: -3.06 eV/atom

=====

(4)
Density functional theory data (PBE-GGA) for crystalline Th2CdSn at its relaxed geometry.

Lattice parameters (Å, degrees): 6.3629 4.4099 9.0631 90.00 110.46 90.00
Closest atoms and distances in Å follow each position.
Space group P2_1/m (No. 11)
Symmetry-distinct sites (fractional):
Th (0.2167, 0.2500, 0.4261)  3 Cd 3.25-3.52, 4 Sn 3.25-3.51
Th (0.2786, 0.7500, 0.0697)  4 Cd 3.25-3.52, 3 Sn 3.27-3.52
Cd (0.1310, 0.2500, 0.7891)  2 Sn 2.92, 4 Th 3.25
Sn (0.3727, 0.7500, 0.7092)  2 Cd 2.92, 5 Th 3.25-3.27

Computed properties:
**ΔE_f**: -1.2 eV/f.u.
**Volume**: 238.3 Å³/cell
**Crystal system**: monoclinic
**E_tot**: -5.23 eV/atom

=====

(5)
Density functional theory data (PBE-GGA) for crystalline Cs3Nb2Se4 at its relaxed geometry.

Lattice parameters (Å, degrees): 17.0710 4.1435 10.3933 90.00 120.46 90.00
Closest atoms and distances in Å follow each position.
Space group C2/m (No. 12)
Symmetry-distinct sites (fractional):
Cs (0.0000, 0.0000, 0.0000)  6 Se 3.52-3.80
Cs (0.1176, 0.5000, 0.7314)  5 Se 3.49-3.82
Nb (0.2056, 0.5000, 0.3887)  4 Se 2.47-2.67
Se (0.1196, 0.0000, 0.4240)  3 Nb 2.61-2.67
Se (0.1926, 0.5000, 0.1411)  1 Nb 2.47

Computed properties:
**Raw formation energy**: -874 meV per atom
**Volume**: 633.7 Å³/cell
**Crystal system**: monoclinic
**E_tot**: -4.94 eV/atom

=====

(6)
Density functional theory data (PBE-GGA) for crystalline Zr2HgPb at its relaxed geometry.

Lattice parameters (Å, degrees): 3.3124 3.3124 29.8304 90.00 90.00 120.00
Closest atoms and distances in Å follow each position.
Space group R-3m (No. 166, hexagonal axes)
Symmetry-distinct sites (fractional):
Zr (0.0000, 0.0000, 0.2476)  3 Hg 3.08, 3 Pb 3.19, 6 Zr 3.31
Hg (0.0000, 0.0000, 0.5000)  6 Zr 3.08, 6 Hg 3.31
Pb (0.0000, 0.0000, 0.0000)  6 Zr 3.19, 6 Pb 3.31

Computed properties:
**ΔE_f**: -0.2 eV/f.u.
**Volume**: 283.4 Å³/cell
**Crystal system**: trigonal
**E_tot**: -5.33 eV/atom

=====

(7)
Density functional theory data (PBE-GGA) for crystalline Zr3PaZn8 at its relaxed geometry.

Lattice parameters (Å, degrees): 5.3622 5.3622 8.3849 90.00 90.00 120.00
Closest atoms and distances in Å follow each position.
Space group P3m1 (No. 156)
Symmetry-distinct sites (fractional):
Zr (0.0000, 0.0000, 0.0000)  12 Zn 2.99-3.14, 4 Zr 3.09-3.32
Zr (0.0000, 0.0000, 0.3682)  12 Zn 3.09-3.15, 1 Zr 3.09, 3 Pa 3.31
Zr (0.3333, 0.6667, 0.8576)  1 Pa 2.92, 12 Zn 3.02-3.16
Pa (0.3333, 0.6667, 0.5095)  1 Zr 2.92, 12 Zn 3.08-3.16
Zn (0.0121, 0.5061, 0.1782)  6 Zn 2.58-2.78
Zn (0.3206, 0.1603, 0.6908)  6 Zn 2.58-2.78
Zn (0.6667, 0.3333, 0.4345)  6 Zn 2.68
Zn (0.6667, 0.3333, 0.9345)  6 Zn 2.60

Computed properties:
**ΔE_f**: -2.6 eV/f.u.
**Volume**: 208.8 Å³/cell
**Crystal system**: trigonal
**E_tot**: -3.99 eV/atom

=====

(8)
Density functional theory data (PBE-GGA) for crystalline Ca2CdTe at its relaxed geometry.

Lattice parameters (Å, degrees): 4.3028 4.3028 24.9427 90.00 90.00 120.00
Closest atoms and distances in Å follow each position.
Space group R-3m (No. 166, hexagonal axes)
Symmetry-distinct sites (fractional):
Ca (0.0000, 0.0000, 0.2434)  3 Te 3.14, 3 Cd 3.35
Cd (0.0000, 0.0000, 0.0000)  6 Ca 3.35
Te (0.0000, 0.0000, 0.5000)  6 Ca 3.14

Computed properties:
**Raw formation energy**: -789 meV per atom
**Volume**: 399.9 Å³/cell
**Crystal system**: trigonal
**E_tot**: -2.80 eV/atom

=====

(9)
Density functional theory data (PBE-GGA) for crystalline ThB2Ru5 at its relaxed geometry.

Lattice parameters (Å, degrees): 3.7733 6.6689 9.0860 90.00 90.00 90.00
Closest atoms and distances in Å follow each position.
Space group Immm (No. 71)
Symmetry-distinct sites (fractional):
Th (0.0000, 0.0000, 0.0000)  4 B 3.05, 14 Ru 3.11-3.40
B (0.0000, 0.5000, 0.2364)  3 Ru 2.15-2.26
Ru (0.0000, 0.1954, 0.3456)  3 B 2.26-2.41
Ru (0.0000, 0.5000, 0.0000)  2 B 2.15

Computed properties:
**ΔE_f**: -1.0 eV/f.u.
**Volume**: 228.6 Å³/cell
**Crystal system**: orthorhombic
**E_tot**: -8.52 eV/atom

=====

(10)
Density functional theory data (PBE-GGA) for crystalline Eu2ErBr at its relaxed geometry.

Lattice parameters (Å, degrees): 3.8352 3.8352 31.9769 90.00 90.00 120.00
Closest atoms and distances in Å follow each position.
Space group R-3m (No. 166, hexagonal axes)
Symmetry-distinct sites (fractional):
Eu (0.0000, 0.0000, 0.2402)  3 Br 3.23
Er (0.0000, 0.0000, 0.0000)  6 Eu 3.71, 6 Er 3.84
Br (0.0000, 0.0000, 0.5000)  6 Eu 3.23

Computed properties:
**Raw formation energy**: -634 meV per atom
**Volume**: 407.3 Å³/cell
**Crystal system**: trigonal
**E_tot**: -7.33 eV/atom

=====

(11)
Density functional theory data (PBE-GGA) for crystalline AcLaAu4 at its relaxed geometry.

Lattice parameters (Å, degrees): 8.3045 8.3045 8.3045 90.00 90.00 90.00
Closest atoms and distances in Å follow each position.
Space group F-43m (No. 216)
Symmetry-distinct sites (fractional):
Ac (0.0000, 0.0000, 0.0000)  12 Au 3.44, 4 La 3.60
La (0.2500, 0.2500, 0.2500)  12 Au 3.44, 4 Ac 3.60
Au (0.1247, 0.1247, 0.6247)  6 Au 2.93-2.94

Computed properties:
**ΔE_f**: -3.3 eV/f.u.
**Volume**: 572.7 Å³/cell
**Crystal system**: cubic
**E_tot**: -4.23 eV/atom

=====

(12)
Density functional theory data (PBE-GGA) for crystalline Pr5Nd2Tm4 at its relaxed geometry.

Lattice parameters (Å, degrees): 3.5567 9.2125 23.6621 90.00 90.00 90.00
Closest atoms and distances in Å follow each position.
Space group Immm (No. 71)
Symmetry-distinct sites (fractional):
Pr (0.0000, 0.0000, 0.0000)  4 Tm 3.43, 2 Pr 3.56
Pr (0.0000, 0.3000, 0.3570)  3 Tm 3.47-3.55, 1 Nd 3.49, 3 Pr 3.56-3.68
Nd (0.0000, 0.5000, 0.2316)  1 Tm 3.21, 2 Pr 3.49, 2 Nd 3.56
Tm (0.0000, 0.1821, 0.5000)  7 Tm 3.33-3.56, 4 Pr 3.43-3.55
Tm (0.0000, 0.5000, 0.0958)  1 Nd 3.21, 6 Tm 3.33-3.56, 4 Pr 3.47

Computed properties:
**ΔE_f**: 1.8 eV/f.u.
**Volume**: 775.3 Å³/cell
**Crystal system**: orthorhombic
**E_tot**: -4.50 eV/atom

=====

(13)
Density functional theory data (PBE-GGA) for crystalline YAuI2O at its relaxed geometry.

Lattice parameters (Å, degrees): 5.8749 5.8749 3.9837 90.00 90.00 90.00
Closest atoms and distances in Å follow each position.
Space group P4/mmm (No. 123)
Symmetry-distinct sites (fractional):
Y (0.0000, 0.0000, 0.0000)  8 I 3.55
Au (0.5000, 0.5000, 0.5000)  2 O 1.99
I (0.0000, 0.5000, 0.5000)  2 Au 2.94
O (0.5000, 0.5000, 0.0000)  2 Au 1.99

Computed properties:
**Raw formation energy**: -166 meV per atom
**Volume**: 137.5 Å³/cell
**Crystal system**: tetragonal
**E_tot**: -3.73 eV/atom

=====

(14)
Density functional theory data (PBE-GGA) for crystalline P2IrPtO at its relaxed geometry.

Lattice parameters (Å, degrees): 4.7251 4.7251 3.6402 90.00 90.00 90.00
Closest atoms and distances in Å follow each position.
Space group P4/mmm (No. 123)
Symmetry-distinct sites (fractional):
P (0.0000, 0.5000, 0.0000)  2 Ir 2.36
Ir (0.0000, 0.0000, 0.0000)  2 O 1.82
Pt (0.5000, 0.5000, 0.5000)  8 P 2.98
O (0.0000, 0.0000, 0.5000)  2 Ir 1.82

Computed properties:
**Raw formation energy**: 341 meV per atom
**Volume**: 81.3 Å³/cell
**Crystal system**: tetragonal
**E_tot**: -5.79 eV/atom

=====

(15)
Density functional theory data (PBE-GGA) for crystalline CaIN2F at its relaxed geometry.

Lattice parameters (Å, degrees): 4.1637 4.1637 4.5631 90.00 90.00 90.00
Closest atoms and distances in Å follow each position.
Space group P4/mmm (No. 123)
Symmetry-distinct sites (fractional):
Ca (0.0000, 0.0000, 0.0000)  4 F 2.94, 8 N 3.09
I (0.5000, 0.5000, 0.5000)  4 N 2.08, 2 F 2.28
N (0.0000, 0.5000, 0.5000)  2 I 2.08
F (0.5000, 0.5000, 0.0000)  2 I 2.28

Computed properties:
**Raw formation energy**: 251 meV per atom
**Volume**: 79.1 Å³/cell
**Crystal system**: tetragonal
**E_tot**: -4.16 eV/atom

=====

(16)
Density functional theory data (PBE-GGA) for crystalline DyNiIr2 at its relaxed geometry.

Lattice parameters (Å, degrees): 5.3043 7.4635 7.0533 90.00 96.07 90.00
Closest atoms and distances in Å follow each position.
Space group P2_1 (No. 4)
Symmetry-distinct sites (fractional):
Dy (0.1697, 0.0000, 0.0393)  5 Ir 2.74-3.05, 3 Ni 2.95-3.00
Dy (0.3106, 0.6773, 0.7009)  6 Ir 2.87-3.14, 3 Ni 2.99-3.06
Ni (0.2118, 0.0473, 0.4644)  5 Ir 2.49-2.77
Ni (0.3363, 0.6243, 0.1232)  5 Ir 2.38-2.53
Ir (0.0205, 0.7486, 0.3334)  3 Ni 2.49-2.58, 4 Ir 2.69-2.76
Ir (0.1554, 0.3933, 0.3253)  2 Ni 2.49-2.77, 2 Ir 2.59-2.75
Ir (0.3308, 0.3401, 0.9688)  2 Ni 2.38-2.52, 1 Ir 2.62
Ir (0.4672, 0.3192, 0.6227)  3 Ni 2.45-2.62, 3 Ir 2.59-2.69

Computed properties:
**ΔE_f**: -1.4 eV/f.u.
**Volume**: 277.7 Å³/cell
**Crystal system**: monoclinic
**E_tot**: -7.38 eV/atom

=====

(17)
Density functional theory data (PBE-GGA) for crystalline SmDy2Sb2 at its relaxed geometry.

Lattice parameters (Å, degrees): 6.9733 6.1788 7.4289 90.00 109.05 90.00
Closest atoms and distances in Å follow each position.
Space group C2/m (No. 12)
Symmetry-distinct sites (fractional):
Sm (0.0000, 0.0000, 0.0000)  6 Sb 3.26-3.47
Dy (0.0000, 0.2526, 0.5000)  2 Dy 3.06-3.12, 4 Sb 3.08-3.11
Sb (0.1549, 0.5000, 0.2092)  4 Dy 3.08-3.11, 1 Sb 3.15, 1 Sm 3.26

Computed properties:
**Raw formation energy**: -638 meV per atom
**Volume**: 302.6 Å³/cell
**Crystal system**: monoclinic
**E_tot**: -5.07 eV/atom

=====

(18)
Density functional theory data (PBE-GGA) for crystalline Zr2CrHg at its relaxed geometry.

Lattice parameters (Å, degrees): 7.8905 3.1200 6.9598 90.00 96.46 90.00
Closest atoms and distances in Å follow each position.
Space group C2/m (No. 12)
Symmetry-distinct sites (fractional):
Zr (0.2503, 0.0000, 0.2027)  3 Cr 2.55-2.77
Cr (0.0000, 0.5000, 0.0000)  6 Zr 2.55-2.77
Hg (0.0000, 0.0000, 0.5000)  6 Zr 3.02-3.11, 2 Hg 3.12

Computed properties:
**ΔE_f**: 1.3 eV/f.u.
**Volume**: 170.2 Å³/cell
**Crystal system**: monoclinic
**E_tot**: -6.43 eV/atom

=====

(19)
Density functional theory data (PBE-GGA) for crystalline CaCo3Se at its relaxed geometry.

Lattice parameters (Å, degrees): 4.4277 4.4277 4.4277 90.00 90.00 90.00
Closest atoms and distances in Å follow each position.
Space group Pm-3m (No. 221)
Symmetry-distinct sites (fractional):
Ca (0.0000, 0.0000, 0.0000)  12 Co 3.13
Co (0.0000, 0.5000, 0.5000)  2 Se 2.21
Se (0.5000, 0.5000, 0.5000)  6 Co 2.21

Computed properties:
**Raw formation energy**: 223 meV per atom
**Volume**: 86.8 Å³/cell
**Crystal system**: cubic
**E_tot**: -5.14 eV/atom

=====

(20)
Density functional theory data (PBE-GGA) for crystalline RbInBiAu at its relaxed geometry.

Lattice parameters (Å, degrees): 13.8856 3.8582 5.5427 90.00 113.43 90.00
Closest atoms and distances in Å follow each position.
Space group Cm (No. 8)
Symmetry-distinct sites (fractional):
Rb (0.0000, 0.0000, 0.0000)  4 Au 3.47, 2 Rb 3.86
In (0.2192, 0.0000, 0.7190)  2 Au 2.77
Bi (0.3375, 0.0000, 0.3372)  1 Au 2.88, 2 In 3.15-3.16
Au (0.0633, 0.5000, 0.5632)  2 In 2.77, 1 Bi 2.88

Computed properties:
**ΔE_f**: -0.8 eV/f.u.
**Volume**: 272.5 Å³/cell
**Crystal system**: monoclinic
**E_tot**: -2.90 eV/atom